Arrangement A

Material: ErNiB4
Method: DFT, SCAN
State: PBEsol geometry

a = 5.846 Å, b = 11.348 Å, c = 3.340 Å
α = 90.00°, β = 90.00°, γ = 90.00°
Element x y z (fractional)
Er  0.127  0.150  0.000
Er  0.373  0.650  0.000
Er  0.627  0.350  0.000
Er  0.873  0.850  0.000
Ni  0.134  0.412  0.000
Ni  0.366  0.912  0.000
Ni  0.634  0.088  0.000
Ni  0.866  0.588  0.000
B  0.021  0.692  0.500
B  0.114  0.547  0.500
B  0.137  0.966  0.500
B  0.215  0.815  0.500
B  0.285  0.315  0.500
B  0.363  0.466  0.500
B  0.386  0.047  0.500
B  0.479  0.192  0.500
B  0.521  0.808  0.500
B  0.614  0.953  0.500
B  0.637  0.534  0.500
B  0.715  0.685  0.500
B  0.785  0.185  0.500
B  0.863  0.034  0.500
B  0.886  0.453  0.500
B  0.979  0.308  0.500

As for the space group: No. 55. The value obtained for the spin magnetization is 0.00 Bohr magnetons per cell.

=====

Arrangement B

Material: ErNiB4
Method: DFT, SCAN
State: PBEsol geometry

a = 6.733 Å, b = 6.733 Å, c = 6.733 Å
α = 113.07°, β = 113.07°, γ = 102.49°
Element x y z (fractional)
Er  0.202  0.202  0.000
Er  0.250  0.750  0.500
Er  0.750  0.250  0.500
Er  0.798  0.798  0.000
Ni  0.272  0.500  0.772
Ni  0.500  0.272  0.772
Ni  0.500  0.728  0.228
Ni  0.728  0.500  0.228
B  0.112  0.276  0.388
B  0.112  0.724  0.835
B  0.115  0.115  0.537
B  0.115  0.579  0.000
B  0.276  0.112  0.388
B  0.276  0.888  0.165
B  0.421  0.421  0.537
B  0.421  0.885  0.000
B  0.579  0.115  0.000
B  0.579  0.579  0.463
B  0.724  0.112  0.835
B  0.724  0.888  0.612
B  0.885  0.421  0.000
B  0.885  0.885  0.463
B  0.888  0.276  0.165
B  0.888  0.724  0.612

As for the space group: No. 139. The value obtained for the spin magnetization is 0.00 Bohr magnetons per cell.

=====

Which of them is the most stable? Correct choice: arrangement B.

=====

Arrangement A

Material: BRuN2F
Method: DFT, SCAN
State: PBEsol geometry

a = 3.568 Å, b = 3.568 Å, c = 3.015 Å
α = 90.00°, β = 90.00°, γ = 90.00°
Element x y z (fractional)
B  0.000  0.000  0.000
Ru  0.500  0.500  0.500
N  0.000  0.500  0.000
N  0.500  0.000  0.000
F  0.000  0.000  0.500

As for the space group: No. 123. The value obtained for the spin magnetization is 0.79 Bohr magnetons per cell.

=====

Arrangement B

Material: BRuN2F
Method: DFT, SCAN
State: PBEsol geometry

a = 3.750 Å, b = 3.750 Å, c = 4.083 Å
α = 90.00°, β = 90.00°, γ = 90.00°
Element x y z (fractional)
B  0.000  0.000  0.000
Ru  0.500  0.500  0.500
N  0.000  0.500  0.500
N  0.500  0.000  0.500
F  0.500  0.500  0.000

As for the space group: No. 123. The value obtained for the spin magnetization is 0.00 Bohr magnetons per cell.

=====

Which of them is the most stable? Correct choice: arrangement A.

=====

Arrangement A

Material: Sc2BF
Method: DFT, SCAN
State: PBEsol geometry

a = 6.572 Å, b = 6.572 Å, c = 6.572 Å
α = 136.93°, β = 136.93°, γ = 62.55°
Element x y z (fractional)
Sc  0.121  0.625  0.996
Sc  0.375  0.371  0.496
Sc  0.629  0.125  0.004
Sc  0.875  0.879  0.504
B  0.250  0.750  0.500
B  0.500  0.500  0.000
F  0.000  0.000  0.000
F  0.750  0.250  0.500

As for the space group: No. 122. The value obtained for the spin magnetization is 0.00 Bohr magnetons per cell.

=====

Arrangement B

Material: Sc2BF
Method: DFT, SCAN
State: PBEsol geometry

a = 4.209 Å, b = 4.209 Å, c = 4.209 Å
α = 60.00°, β = 60.00°, γ = 60.00°
Element x y z (fractional)
Sc  0.250  0.250  0.250
Sc  0.750  0.750  0.750
B  0.000  0.000  0.000
F  0.500  0.500  0.500

As for the space group: No. 225. The value obtained for the spin magnetization is 0.00 Bohr magnetons per cell.

=====

Which of them is the most stable? Correct choice: arrangement A.

=====

Arrangement A

Material: FeBP2O
Method: DFT, SCAN
State: PBEsol geometry

a = 4.433 Å, b = 4.433 Å, c = 3.284 Å
α = 90.00°, β = 90.00°, γ = 90.00°
Element x y z (fractional)
Fe  0.000  0.000  0.000
B  0.500  0.500  0.500
P  0.000  0.500  0.000
P  0.500  0.000  0.000
O  0.000  0.000  0.500

As for the space group: No. 123. The value obtained for the spin magnetization is 0.00 Bohr magnetons per cell.

=====

Arrangement B

Material: FeBP2O
Method: DFT, SCAN
State: PBEsol geometry

a = 4.722 Å, b = 4.722 Å, c = 2.640 Å
α = 90.00°, β = 90.00°, γ = 90.00°
Element x y z (fractional)
Fe  0.000  0.000  0.000
B  0.500  0.500  0.500
P  0.000  0.500  0.500
P  0.500  0.000  0.500
O  0.500  0.500  0.000

As for the space group: No. 123. The value obtained for the spin magnetization is 3.13 Bohr magnetons per cell.

=====

Which of them is the most stable? Correct choice: arrangement B.

=====

Arrangement A

Material: GaBIr2
Method: DFT, SCAN
State: PBEsol geometry

a = 4.087 Å, b = 4.087 Å, c = 4.087 Å
α = 60.00°, β = 60.00°, γ = 60.00°
Element x y z (fractional)
Ga  0.000  0.000  0.000
B  0.500  0.500  0.500
Ir  0.250  0.250  0.250
Ir  0.750  0.750  0.750

As for the space group: No. 225. The value obtained for the spin magnetization is 0.00 Bohr magnetons per cell.

=====

Arrangement B

Material: GaBIr2
Method: DFT, SCAN
State: PBEsol geometry

a = 5.909 Å, b = 5.909 Å, c = 5.909 Å
α = 126.66°, β = 126.66°, γ = 78.80°
Element x y z (fractional)
Ga  0.000  0.000  0.000
Ga  0.750  0.250  0.500
B  0.250  0.750  0.500
B  0.500  0.500  0.000
Ir  0.193  0.625  0.068
Ir  0.375  0.443  0.568
Ir  0.557  0.125  0.932
Ir  0.875  0.807  0.432

As for the space group: No. 122. The value obtained for the spin magnetization is 0.00 Bohr magnetons per cell.

=====

Which of them is the most stable? Correct choice: arrangement A.